A plane-wave DFT calculation with meta-GGA SCAN was carried out for a PBEsol-optimized structure of HgTe2IBr.

Output
- Theoretical density: 6.18 Mg/m³
- Energy relative to the elements, uncorrected: 0.68 eV/atom
- N(E_F): 0.980 states/eV/atom

a b c (Å): 5.544 5.544 5.796
angles (deg): 90.00 90.00 90.00
Space group P4/mmm (No. 123)
Symmetry-distinct sites (fractional):
Hg1 0.000 0.000 0.000
Te1 0.000 0.500 0.500
I1 0.500 0.500 0.000
Br1 0.500 0.500 0.500

***

A plane-wave DFT calculation with meta-GGA SCAN was carried out for a PBEsol-optimized structure of InHg2Br.

Output
- Theoretical density: 8.57 Mg/m³
- ΔE to the lowest computed polymorph: 0.0102 eV per atom
- Energy relative to the elements, uncorrected: -0.29 eV/atom
- N(E_F): 0.029 states/eV/atom

a b c (Å): 6.030 7.697 4.977
angles (deg): 90.00 90.00 90.00
Space group Cmmm (No. 65)
Symmetry-distinct sites (fractional):
In1 0.000 0.000 0.000
Hg1 0.000 0.232 0.500
Br1 0.000 0.500 0.000

***

A plane-wave DFT calculation with meta-GGA SCAN was carried out for a PBEsol-optimized structure of InHg2Br.

Output
- Theoretical density: 9.13 Mg/m³
- ΔE to the lowest computed polymorph: 0.0297 eV per atom
- Energy relative to the elements, uncorrected: -0.27 eV/atom
- N(E_F): 0.129 states/eV/atom

a b c (Å): 4.376 4.376 11.315
angles (deg): 90.00 90.00 90.00
Space group I4/mmm (No. 139)
Symmetry-distinct sites (fractional):
In1 0.000 0.000 0.000
Hg1 0.000 0.500 0.250
Br1 0.000 0.000 0.500

***

A plane-wave DFT calculation with meta-GGA SCAN was carried out for a PBEsol-optimized structure of In2HgBr2.

Output
- Theoretical density: 6.78 Mg/m³
- ΔE to the lowest computed polymorph: 0.0000 eV per atom
- Energy relative to the elements, uncorrected: -0.52 eV/atom

a b c (Å): 8.058 8.058 4.454
angles (deg): 90.00 90.00 90.00
Space group P4/mbm (No. 127)
Symmetry-distinct sites (fractional):
In1 0.143 0.357 0.000
Hg1 0.000 0.000 0.000
Br1 0.170 0.670 0.500

***

A plane-wave DFT calculation with meta-GGA SCAN was carried out for a PBEsol-optimized structure of InHg2Br.

Output
- Theoretical density: 8.84 Mg/m³
- ΔE to the lowest computed polymorph: 0.0000 eV per atom
- Energy relative to the elements, uncorrected: -0.30 eV/atom
- N(E_F): 0.099 states/eV/atom

a b c (Å): 4.558 4.068 6.442
angles (deg): 90.00 110.37 90.00
Space group Pm (No. 6)
Symmetry-distinct sites (fractional):
In1 0.000 0.000 0.000
Hg1 0.255 0.000 0.508
Hg2 0.800 0.500 0.602
Br1 0.543 0.500 0.089

***

A plane-wave DFT calculation with meta-GGA SCAN was carried out for a PBEsol-optimized structure of In2HgBr2.

Output
- Theoretical density: 5.48 Mg/m³
- ΔE to the lowest computed polymorph: 0.0460 eV per atom
- Energy relative to the elements, uncorrected: -0.47 eV/atom

a b c (Å): 5.237 5.237 13.031
angles (deg): 90.00 90.00 90.00
Space group I4/mmm (No. 139)
Symmetry-distinct sites (fractional):
In1 0.000 0.000 0.133
Hg1 0.000 0.000 0.500
Br1 0.000 0.500 0.250

***

A plane-wave DFT calculation with meta-GGA SCAN was carried out for a PBEsol-optimized structure of InHg2Br.

Output
- Theoretical density: 9.26 Mg/m³
- ΔE to the lowest computed polymorph: 0.0305 eV per atom
- Energy relative to the elements, uncorrected: -0.27 eV/atom
- N(E_F): 0.096 states/eV/atom

a b c (Å): 3.734 3.734 7.659
angles (deg): 90.00 90.00 90.00
Space group P4mm (No. 99)
Symmetry-distinct sites (fractional):
In1 0.000 0.000 0.000
Hg1 0.000 0.000 0.514
Hg2 0.500 0.500 0.734
Br1 0.500 0.500 0.219

***

A plane-wave DFT calculation with meta-GGA SCAN was carried out for a PBEsol-optimized structure of InHg2Br.

Output
- Theoretical density: 9.10 Mg/m³
- ΔE to the lowest computed polymorph: 0.0296 eV per atom
- Energy relative to the elements, uncorrected: -0.27 eV/atom
- N(E_F): 0.104 states/eV/atom

a b c (Å): 4.175 4.666 5.583
angles (deg): 90.00 90.00 90.00
Space group Pmmm (No. 47)
Symmetry-distinct sites (fractional):
In1 0.000 0.000 0.000
Hg1 0.000 0.500 0.500
Hg2 0.500 0.000 0.500
Br1 0.500 0.500 0.000

***

A plane-wave DFT calculation with meta-GGA SCAN was carried out for a PBEsol-optimized structure of InHg2Br.

Output
- Theoretical density: 9.34 Mg/m³
- ΔE to the lowest computed polymorph: 0.0260 eV per atom
- Energy relative to the elements, uncorrected: -0.27 eV/atom
- N(E_F): 0.135 states/eV/atom

a b c (Å): 3.692 5.097 11.256
angles (deg): 90.00 90.00 90.00
Space group Immm (No. 71)
Symmetry-distinct sites (fractional):
In1 0.000 0.000 0.000
Hg1 0.000 0.500 0.263
Br1 0.000 0.000 0.500

***

A plane-wave DFT calculation with meta-GGA SCAN was carried out for a PBEsol-optimized structure of InHg2Br.

Output
- Theoretical density: 8.70 Mg/m³
- ΔE to the lowest computed polymorph: 0.0357 eV per atom
- Energy relative to the elements, uncorrected: -0.26 eV/atom
- N(E_F): 0.263 states/eV/atom

a b c (Å): 4.2267 4.2267 22.0542
angles (deg): 90.00 90.00 120.00
Space group R3m (No. 160, hexagonal axes)
Symmetry-distinct sites (fractional):
In1 0.0000 0.0000 0.0000
Hg1 0.0000 0.0000 0.2553
Hg2 0.0000 0.0000 0.5127
Br1 0.0000 0.0000 0.7484

***

A plane-wave DFT calculation with meta-GGA SCAN was carried out for a PBEsol-optimized structure of In2Hg2Br.

Output
- Theoretical density: 8.97 Mg/m³
- Energy relative to the elements, uncorrected: -0.22 eV/atom
- N(E_F): 0.252 states/eV/atom

a b c (Å): 8.425 8.425 3.708
angles (deg): 90.00 90.00 90.00
Space group P4/mbm (No. 127)
Symmetry-distinct sites (fractional):
In1 0.179 0.321 0.000
Hg1 0.126 0.626 0.500
Br1 0.000 0.000 0.000

***

A plane-wave DFT calculation with meta-GGA SCAN was carried out for a PBEsol-optimized structure of InHg2Br.

Output
- Theoretical density: 9.17 Mg/m³
- ΔE to the lowest computed polymorph: 0.0501 eV per atom
- Energy relative to the elements, uncorrected: -0.25 eV/atom
- N(E_F): 0.026 states/eV/atom

a b c (Å): 5.180 5.180 8.043
angles (deg): 90.00 90.00 90.00
Space group I-4m2 (No. 119)
Symmetry-distinct sites (fractional):
In1 0.000 0.000 0.000
Hg1 0.000 0.000 0.500
Hg2 0.000 0.500 0.750
Br1 0.000 0.500 0.250